VASP calculation (GGA-PBE) on a relaxed DySc2Ni4Ge4 crystal.

a b c (Å): 7.6139 7.6139 7.6139
angles (deg): 149.96 127.49 61.69
Closest atoms and distances in Å follow each position.
Fractional coordinates of all 11 atoms:
Ni 0.9813 0.6773 0.3039  4 Ge 2.43-2.45, 1 Ni 2.64
Ge 0.3123 0.5000 0.8123  2 Ni 2.45, 1 Ge 2.53
Ge 0.6877 0.5000 0.1877  2 Ni 2.45, 1 Ge 2.53
Ni 0.3734 0.6773 0.6961  4 Ge 2.43-2.45, 1 Ni 2.64
Ni 0.0187 0.3227 0.6961  4 Ge 2.43-2.45, 1 Ni 2.64
Ge 0.7770 0.7770 0.0000  6 Ni 2.43-2.45
Ni 0.6266 0.3227 0.3039  4 Ge 2.43-2.45, 1 Ni 2.64
Sc 0.3733 0.8733 0.5000  6 Ge 2.79-2.87, 6 Ni 2.88-2.92
Ge 0.2230 0.2230 0.0000  6 Ni 2.43-2.45
Sc 0.6267 0.1267 0.5000  6 Ge 2.79-2.87, 6 Ni 2.88-2.92
Dy 0.0000 0.0000 0.0000  6 Ge 2.88-2.92

Properties
* crystal system: orthorhombic



VASP calculation (GGA-PBE) on a relaxed PuIn crystal.

a b c (Å): 4.8935 4.8935 4.8935
angles (deg): 60.00 60.00 60.00
Closest atoms and distances in Å follow each position.
Fractional coordinates of all 2 atoms:
Pu 0.2500 0.2500 0.2500  4 In 3.00
In 0.0000 0.0000 0.0000  4 Pu 3.00

Properties
* crystal system: cubic



VASP calculation (GGA-PBE) on a relaxed MgSbPt crystal.

a b c (Å): 4.4778 4.4778 4.4778
angles (deg): 60.00 60.00 60.00
Closest atoms and distances in Å follow each position.
Fractional coordinates of all 3 atoms:
Sb 0.7500 0.7500 0.7500  4 Pt 2.74
Pt 0.0000 0.0000 0.0000  4 Mg 2.74, 4 Sb 2.74
Mg 0.2500 0.2500 0.2500  4 Pt 2.74

Properties
* crystal system: cubic



Table of total moment (μB/atom), in record order: 0.00 3.27 0.00
Table of uncorrected energy (eV per cell), in record order: -66.44 -14.91 -13.88